Entry 1:
Density functional theory data (PBE+U) for a relaxed CsV2ReO crystal.

## Properties
- energy (eV/cell) = -27.8

The structure in CIF format:
```
data_CsV2ReO
_chemical_formula_sum 'Cs1 V2 Re1 O1'
_cell_length_a 4.179
_cell_length_b 4.179
_cell_length_c 5.350
_cell_angle_alpha 90.00
_cell_angle_beta 90.00
_cell_angle_gamma 90.00
_symmetry_space_group_name_H-M 'P 4/m m m'
_symmetry_Int_Tables_number 123
_symmetry_space_group_name_Hall '-P 4 2'
loop_
_atom_site_label
_atom_site_type_symbol
_atom_site_fract_x
_atom_site_fract_y
_atom_site_fract_z
_atom_site_occupancy
Cs1 Cs 0.000 0.000 0.000 1
V1 V 0.000 0.500 0.500 1
Re1 Re 0.500 0.500 0.000 1
O1 O 0.000 0.000 0.500 1
```



Entry 2:
Density functional theory data (PBE+U) for a relaxed CsV2ReO crystal.

## Properties
- energy (eV/cell) = -27.2

The structure in CIF format:
```
data_CsV2ReO
_chemical_formula_sum 'Cs1 V2 Re1 O1'
_cell_length_a 5.281
_cell_length_b 5.281
_cell_length_c 3.847
_cell_angle_alpha 90.00
_cell_angle_beta 90.00
_cell_angle_gamma 90.00
_symmetry_space_group_name_H-M 'P 4/m m m'
_symmetry_Int_Tables_number 123
_symmetry_space_group_name_Hall '-P 4 2'
loop_
_atom_site_label
_atom_site_type_symbol
_atom_site_fract_x
_atom_site_fract_y
_atom_site_fract_z
_atom_site_occupancy
Cs1 Cs 0.000 0.000 0.000 1
V1 V 0.000 0.500 0.500 1
Re1 Re 0.500 0.500 0.000 1
O1 O 0.500 0.500 0.500 1
```



Entry 3:
Density functional theory data (PBE+U) for a relaxed CsVRe2O8 crystal.

## Properties
- energy (eV/cell) = -93.7

The structure in CIF format:
```
data_CsVRe2O8
_chemical_formula_sum 'Cs1 V1 Re2 O8'
_cell_length_a 5.8692
_cell_length_b 5.8692
_cell_length_c 8.2211
_cell_angle_alpha 90.00
_cell_angle_beta 90.00
_cell_angle_gamma 120.00
_symmetry_space_group_name_H-M 'P -3'
_symmetry_Int_Tables_number 147
loop_
_symmetry_equiv_pos_as_xyz
'x,y,z'
'-x,-y,-z'
'-y,x-y,z'
'y,-x+y,-z'
'-x+y,-x,z'
'x-y,x,-z'
loop_
_atom_site_label
_atom_site_type_symbol
_atom_site_fract_x
_atom_site_fract_y
_atom_site_fract_z
_atom_site_occupancy
Cs1 Cs 0.0000 0.0000 0.0000 1
V1 V 0.0000 0.0000 0.5000 1
Re1 Re 0.3333 0.6667 0.7168 1
O1 O 0.1660 0.3343 0.6470 1
O2 O 0.3333 0.6667 0.9317 1
```



Size of the total moment values, unit μB per formula unit, following the record order: 3.43 6.87 1.98.